(1)
# ScInH2 (meta-GGA SCAN, single point on PBEsol structure)
data_ScInH2
_cell_length_a 4.566
_cell_length_b 4.566
_cell_length_c 10.200
_cell_angle_alpha 90.00
_cell_angle_beta 90.00
_cell_angle_gamma 90.00
_symmetry_space_group_name_H-M 'I -4 2 d'
_symmetry_Int_Tables_number 122
_symmetry_space_group_name_Hall 'I -4 2bw'
loop_
_atom_site_label
_atom_site_fract_x
_atom_site_fract_y
_atom_site_fract_z
Sc1 0.000 0.000 0.000
In1 0.000 0.000 0.500
H1 0.165 0.250 0.125
# ΔE to the lowest computed polymorph (meV per atom): 0
# Electronic total energy (eV per atom): -13.816

***

(2)
# ScInH2 (meta-GGA SCAN, single point on PBEsol structure)
data_ScInH2
_cell_length_a 5.751
_cell_length_b 5.751
_cell_length_c 5.751
_cell_angle_alpha 90.00
_cell_angle_beta 90.00
_cell_angle_gamma 90.00
_symmetry_space_group_name_H-M 'F m -3 m'
_symmetry_Int_Tables_number 225
_symmetry_space_group_name_Hall '-F 4 2 3'
loop_
_atom_site_label
_atom_site_fract_x
_atom_site_fract_y
_atom_site_fract_z
Sc1 0.000 0.000 0.000
In1 0.000 0.000 0.500
H1 0.250 0.250 0.250
# ΔE to the lowest computed polymorph (meV per atom): 316
# Electronic total energy (eV per atom): -13.500